Arrangement A

Ba3Bi4Pd4 | GGA-PBE | relaxed

Cell: 14.165 14.165 14.165 Å, 160.20 159.76 28.46°
Positions (direct):
Ba 0.000 0.000 0.000
Ba 0.144 0.644 0.500
Ba 0.856 0.356 0.500
Bi 0.249 0.249 0.000
Bi 0.404 0.904 0.500
Bi 0.596 0.096 0.500
Bi 0.751 0.751 0.000
Pd 0.302 0.802 0.500
Pd 0.450 0.450 0.000
Pd 0.550 0.550 0.000
Pd 0.698 0.198 0.500

Values from the calculation:
calculated density = 8.35 Mg/m³
magnetic moment = 0.00 μB per cell



Arrangement B

Ba3Bi4Pd4 | GGA-PBE | relaxed

Cell: 14.212 14.212 14.212 Å, 160.19 159.99 28.30°
Positions (direct):
Ba 0.000 0.000 0.000
Ba 0.153 0.653 0.500
Ba 0.847 0.347 0.500
Bi 0.299 0.799 0.500
Bi 0.443 0.443 0.000
Bi 0.557 0.557 0.000
Bi 0.701 0.201 0.500
Pd 0.249 0.249 0.000
Pd 0.399 0.899 0.500
Pd 0.601 0.101 0.500
Pd 0.751 0.751 0.000

Values from the calculation:
calculated density = 8.36 Mg/m³
magnetic moment = 0.00 μB per cell



Which of them is the least stable? Correct choice: arrangement A.



Arrangement A

Ba2Bi5Pd3 | GGA-PBE | relaxed

Cell: 9.801 9.801 9.801 Å, 109.22 86.86 136.51°
Positions (direct):
Ba 0.133 0.247 0.380
Ba 0.367 0.747 0.114
Ba 0.633 0.253 0.886
Ba 0.867 0.753 0.620
Bi 0.003 0.750 0.253
Bi 0.098 0.647 0.745
Bi 0.250 0.250 0.000
Bi 0.402 0.147 0.549
Bi 0.497 0.750 0.747
Bi 0.503 0.250 0.253
Bi 0.598 0.853 0.451
Bi 0.750 0.750 0.000
Bi 0.902 0.353 0.255
Bi 0.997 0.250 0.747
Pd 0.128 0.889 0.017
Pd 0.250 0.750 0.500
Pd 0.372 0.389 0.761
Pd 0.628 0.611 0.239
Pd 0.750 0.250 0.500
Pd 0.872 0.111 0.983

Values from the calculation:
calculated density = 9.28 Mg/m³
magnetic moment = 0.00 μB per cell



Arrangement B

Ba2Bi5Pd3 | GGA-PBE | relaxed

Cell: 14.588 14.588 8.020 Å, 90.00 90.00 160.65°
Positions (direct):
Ba 0.023 0.977 0.500
Ba 0.328 0.672 0.518
Ba 0.672 0.328 0.018
Ba 0.977 0.023 0.000
Bi 0.097 0.903 0.862
Bi 0.205 0.795 0.322
Bi 0.213 0.787 0.731
Bi 0.377 0.623 0.000
Bi 0.449 0.551 0.674
Bi 0.551 0.449 0.174
Bi 0.623 0.377 0.500
Bi 0.787 0.213 0.231
Bi 0.795 0.205 0.822
Bi 0.903 0.097 0.362
Pd 0.107 0.893 0.235
Pd 0.274 0.726 0.031
Pd 0.447 0.553 0.294
Pd 0.553 0.447 0.794
Pd 0.726 0.274 0.531
Pd 0.893 0.107 0.735

Values from the calculation:
calculated density = 9.63 Mg/m³
magnetic moment = 0.00 μB per cell



Which of them is the least stable? Correct choice: arrangement B.